Material: CaY2Zr
Method: DFT, GGA-PBEsol
State: relaxed

Values from the calculation:
Its energy of formation is 0.19 eV per atom. For the energy, the calculation gives -6.030 eV per atom. The energy relative to the lowest polymorph listed for this composition is 53.6 meV/atom.

abc: 3.384 3.384 10.265
angles: 90.00 90.00 90.00
Element x y z (fractional)
Ca1 0.000 0.000 0.000
Y1 0.000 0.000 0.537
Y2 0.500 0.500 0.279
Zr1 0.500 0.500 0.748